(1)
A relaxed structure of Y2RhCl, computed with PBE.

Geometry as POSCAR:
```
Y2RhCl
1.0
3.558 0.000 0.000
-1.779 3.081 0.000
0.000 0.000 29.369
Y Rh Cl
6 3 3
Direct
0.000 0.000 0.000
0.000 0.000 0.227
0.333 0.667 0.667
0.333 0.667 0.893
0.667 0.333 0.333
0.667 0.333 0.560
0.000 0.000 0.727
0.333 0.667 0.393
0.667 0.333 0.060
0.000 0.000 0.498
0.333 0.667 0.164
0.667 0.333 0.831
```

Values from the calculation:
Formation energy without anion corrections ... -0.558 eV/atom
E above lowest polymorph ... 600 meV per atom
N(E_F) ... 0.443 states/eV/atom
SG ... R3m

***

(2)
A relaxed structure of Ti5Fe2H12, computed with PBE.

Geometry as POSCAR:
```
Ti5Fe2H12
1.0
4.628 -2.555 0.000
4.628 2.555 0.000
-1.464 0.000 5.857
Ti Fe H
5 2 12
Direct
0.000 0.000 0.000
0.277 0.277 0.660
0.326 0.326 0.139
0.674 0.674 0.861
0.723 0.723 0.340
0.242 0.758 0.500
0.758 0.242 0.500
0.048 0.048 0.691
0.088 0.587 0.906
0.129 0.516 0.413
0.413 0.912 0.094
0.483 0.483 0.672
0.484 0.871 0.587
0.516 0.129 0.413
0.517 0.517 0.328
0.587 0.088 0.906
0.871 0.484 0.587
0.912 0.413 0.094
0.952 0.952 0.309
```

Values from the calculation:
E ... -5.3682 eV/atom
N(E_F) ... 0.501 states/eV/atom
SG ... C2/m

***

Copy entry 2 word for word.
A relaxed structure of Ti5Fe2H12, computed with PBE.

Geometry as POSCAR:
```
Ti5Fe2H12
1.0
4.628 -2.555 0.000
4.628 2.555 0.000
-1.464 0.000 5.857
Ti Fe H
5 2 12
Direct
0.000 0.000 0.000
0.277 0.277 0.660
0.326 0.326 0.139
0.674 0.674 0.861
0.723 0.723 0.340
0.242 0.758 0.500
0.758 0.242 0.500
0.048 0.048 0.691
0.088 0.587 0.906
0.129 0.516 0.413
0.413 0.912 0.094
0.483 0.483 0.672
0.484 0.871 0.587
0.516 0.129 0.413
0.517 0.517 0.328
0.587 0.088 0.906
0.871 0.484 0.587
0.912 0.413 0.094
0.952 0.952 0.309
```

Values from the calculation:
E ... -5.3682 eV/atom
N(E_F) ... 0.501 states/eV/atom
SG ... C2/m